## Ce2Tl3F9 (PBE-GGA)

Data for crystalline Ce2Tl3F9 at its relaxed geometry. Values from VASP.

Results
- Formation energy (no corrections): -2.935 eV per atom
- Electronic total energy: -5.493 eV/atom
- DOS(E_F): 11.36 states/eV per cell
- Size of the total moment: 2.01 μB per formula unit
- Space group: R-3c, No. 167

Cell and atoms, written as Quantum ESPRESSO input:
```
&SYSTEM
  ibrav = 0, nat = 28, ntyp = 3
/
ATOMIC_SPECIES
Ce 140.12 Ce.upf
Tl 204.38 Tl.upf
F 19.00 F.upf
CELL_PARAMETERS angstrom
5.791 3.343 4.919
-5.791 3.343 4.919
0.000 -6.686 4.919
ATOMIC_POSITIONS crystal
Ce 0.129 0.129 0.129
Ce 0.371 0.371 0.371
Ce 0.629 0.629 0.629
Ce 0.871 0.871 0.871
Tl 0.068 0.750 0.432
Tl 0.250 0.568 0.932
Tl 0.432 0.068 0.750
Tl 0.568 0.932 0.250
Tl 0.750 0.432 0.068
Tl 0.932 0.250 0.568
F 0.043 0.273 0.916
F 0.084 0.957 0.727
F 0.112 0.388 0.250
F 0.227 0.457 0.584
F 0.250 0.112 0.388
F 0.273 0.916 0.043
F 0.388 0.250 0.112
F 0.416 0.773 0.543
F 0.457 0.584 0.227
F 0.543 0.416 0.773
F 0.584 0.227 0.457
F 0.612 0.750 0.888
F 0.727 0.084 0.957
F 0.750 0.888 0.612
F 0.773 0.543 0.416
F 0.888 0.612 0.750
F 0.916 0.043 0.273
F 0.957 0.727 0.084
```

***

## CeTl2F8 (PBE-GGA)

Data for crystalline CeTl2F8 at its relaxed geometry. Values from VASP.

Results
- Formation energy (no corrections): -2.600 eV per atom
- Electronic total energy: -4.930 eV/atom
- Polymorph energy (0 for the lowest one): 0 meV/atom
- DOS(E_F): 0.90 states/eV per cell
- Size of the total moment: 0.00 μB per formula unit
- Space group: P-3m1, No. 164

Cell and atoms, written as Quantum ESPRESSO input:
```
&SYSTEM
  ibrav = 0, nat = 11, ntyp = 3
/
ATOMIC_SPECIES
Ce 140.12 Ce.upf
Tl 204.38 Tl.upf
F 19.00 F.upf
CELL_PARAMETERS angstrom
7.395 0.000 0.000
-3.697 6.404 0.000
0.000 0.000 4.553
ATOMIC_POSITIONS crystal
Ce 0.000 0.000 0.000
Tl 0.333 0.667 0.720
Tl 0.667 0.333 0.280
F 0.145 0.290 0.751
F 0.145 0.855 0.751
F 0.290 0.145 0.249
F 0.333 0.667 0.222
F 0.667 0.333 0.778
F 0.710 0.855 0.751
F 0.855 0.145 0.249
F 0.855 0.710 0.249
```